1.
5
Lattice="-1.9258 1.9258 6.1856 1.9258 -1.9258 6.1856 1.9258 1.9258 -6.1856" Properties=species:S:1:pos:R:3 comment="Cu2HgO2 PBE-GGA optimized geometry" polymorph_energy_kcal_per_mol_atoms=0.00 spacegroup="No. 139" dos_ef_per_ev_cell=2.3 pbc="T T T"
Cu 0.0000 0.0000 2.7808
Cu 0.0000 0.0000 9.5904
Hg 0.0000 0.0000 6.1856
O 1.9258 0.0000 3.0928
O 0.0000 1.9258 3.0928



2.
8
Lattice="-3.3328 3.3328 3.1512 3.3328 -3.3328 3.1512 3.3328 3.3328 -3.1512" Properties=species:S:1:pos:R:3 comment="CuHg2O PBE-GGA optimized geometry" spacegroup="No. 122" dos_ef_per_ev_cell=1.9 pbc="T T T"
Cu 0.0000 0.0000 0.0000
Cu 0.0000 3.3328 1.5756
Hg 1.6664 -1.4361 2.3634
Hg 1.8966 1.6664 0.7878
Hg 1.6664 4.7689 -0.7878
Hg 1.4361 1.6664 3.9390
O 3.3328 0.0000 1.5756
O 0.0000 0.0000 3.1512



3.
12
Lattice="4.5953 -3.3835 0.0000 4.5953 3.3835 0.0000 0.0000 0.0000 5.5948" Properties=species:S:1:pos:R:3 comment="Cu2HgO3 PBE-GGA optimized geometry" spacegroup="No. 63" dos_ef_per_ev_cell=4.4 pbc="T T T"
Cu 1.4027 0.0000 0.0000
Cu 1.4027 0.0000 2.7974
Cu 7.7880 0.0000 0.0000
Cu 7.7880 0.0000 2.7974
Hg 4.5953 0.5240 4.1961
Hg 4.5953 -0.5240 1.3987
O 4.5953 3.2185 1.3987
O 2.5491 0.6027 4.1961
O 2.5491 -0.6027 1.3987
O 6.6415 0.6027 4.1961
O 6.6415 -0.6027 1.3987
O 4.5953 -3.2185 4.1961



4.
80
Lattice="-6.2823 6.2823 6.2823 6.2823 -6.2823 6.2823 6.2823 6.2823 -6.2823" Properties=species:S:1:pos:R:3 comment="Cu5Hg3O12 PBE-GGA optimized geometry" spacegroup="No. 230" dos_ef_per_ev_cell=67.3 pbc="T T T"
Cu 0.0000 0.0000 0.0000
Cu 3.1411 3.1411 -3.1411
Cu 3.1411 -3.1411 3.1411
Cu 6.2823 0.0000 0.0000
Cu 9.4234 1.5706 0.0000
Cu 6.2823 -3.1411 4.7117
Cu 4.7117 6.2823 -3.1411
Cu 4.7117 0.0000 3.1411
Cu 3.1411 4.7117 0.0000
Cu 6.2823 3.1411 1.5706
Cu -3.1411 3.1411 3.1411
Cu 0.0000 6.2823 0.0000
Cu 0.0000 0.0000 6.2823
Cu 3.1411 3.1411 3.1411
Cu 0.0000 3.1411 4.7117
Cu 3.1411 1.5706 6.2823
Cu 1.5706 6.2823 3.1411
Cu 1.5706 0.0000 9.4234
Cu 0.0000 9.4234 1.5706
Cu -3.1411 4.7117 6.2823
Hg 3.1411 1.5706 0.0000
Hg 6.2823 3.1411 -1.5706
Hg 1.5706 0.0000 3.1411
Hg 7.8528 0.0000 3.1411
Hg 0.0000 3.1411 1.5706
Hg 3.1411 -1.5706 6.2823
Hg 3.1411 7.8528 0.0000
Hg 6.2823 3.1411 4.7117
Hg -1.5706 6.2823 3.1411
Hg 4.7117 6.2823 3.1411
Hg 0.0000 3.1411 7.8528
Hg 3.1411 4.7117 6.2823
O 1.8721 -0.2816 0.4682
O 7.5512 3.6093 -3.4227
O 8.1544 0.2816 0.4682
O 7.5512 -2.6729 3.4227
O 6.0007 -0.4682 1.8721
O 9.7050 -1.2690 2.6729
O 0.4682 1.8721 -0.2816
O 8.9552 2.8596 -1.2690
O 3.6093 3.4227 -1.2690
O 5.8140 1.8721 0.2816
O -0.2816 0.4682 1.8721
O 3.4227 -1.2690 3.6093
O 6.0007 5.8140 -1.8721
O 3.4227 1.2690 2.6729
O 3.6093 -3.4227 7.5512
O 5.8140 -1.8721 6.0007
O 2.6729 3.4227 1.2690
O 6.7505 4.4101 0.2816
O 3.4227 7.5512 -2.6729
O 6.0007 0.4682 4.4101
O 1.8721 6.0007 -0.4682
O 7.5512 2.6729 2.8596
O 1.2690 2.6729 3.4227
O 1.8721 0.2816 5.8140
O 4.4101 6.0007 0.4682
O 5.0133 3.6093 2.8596
O -1.2690 3.6093 3.4227
O 4.4101 0.2816 6.7505
O 0.2816 5.8140 1.8721
O 2.8596 -1.2690 8.9552
O -0.4682 1.8721 6.0007
O 3.6093 2.8596 5.0133
O 0.4682 8.1544 0.2816
O 2.6729 9.7050 -1.2690
O 2.8596 5.0133 3.6093
O 0.2816 0.4682 8.1544
O 2.8596 7.5512 2.6729
O 6.5638 5.8140 4.4101
O 0.4682 4.4101 6.0007
O 2.6729 2.8596 7.5512
O -2.6729 3.4227 7.5512
O 5.8140 4.4101 6.5638
O -3.4227 7.5512 3.6093
O 0.2816 6.7505 4.4101
O -1.2690 8.9552 2.8596
O -1.8721 6.0007 5.8140
O -1.2690 2.6729 9.7050
O 4.4101 6.5638 5.8140



5.
10
Lattice="-3.6766 3.6766 2.7943 3.6766 -3.6766 2.7943 3.6766 3.6766 -2.7943" Properties=species:S:1:pos:R:3 comment="CuHg4O5 PBE-GGA optimized geometry" spacegroup="No. 79" dos_ef_per_ev_cell=2.1 pbc="T T T"
Cu 0.0000 0.0000 0.0000
Hg 4.4221 1.5537 0.2736
Hg 1.5537 2.9311 0.2736
Hg 2.1229 0.7455 3.0679
Hg -0.7455 2.1229 3.0679
O 1.8985 0.3145 -0.1429
O 3.3621 -1.7780 2.6514
O 0.0000 0.0000 2.4987
O 0.3145 5.4546 -0.1429
O 1.7780 3.3621 2.6514



6.
10
Lattice="-2.9006 2.9006 4.0347 2.9006 -2.9006 4.0347 2.9006 2.9006 -4.0347" Properties=species:S:1:pos:R:3 comment="Cu2HgO2 PBE-GGA optimized geometry" polymorph_energy_kcal_per_mol_atoms=4.93 spacegroup="No. 109" dos_ef_per_ev_cell=8.1 pbc="T T T"
Cu 0.0000 1.4731 0.0000
Cu 0.0000 4.3280 0.0000
Cu 1.4731 2.9006 2.0173
Cu 1.4275 0.0000 6.0520
Hg 2.9006 0.0000 1.7326
Hg 0.0000 0.0000 3.7500
O 0.0000 1.5620 1.8912
O 0.0000 4.2392 1.8912
O -1.5620 2.9006 3.9086
O 1.5620 2.9006 3.9086



7.
6
Lattice="3.3391 0.0000 0.0000 -0.0095 3.5216 0.0000 -1.5182 -1.7614 8.7277" Properties=species:S:1:pos:R:3 comment="CuHgO PBE-GGA optimized geometry" polymorph_energy_kcal_per_mol_atoms=0.97 spacegroup="No. 1" dos_ef_per_ev_cell=3.9 pbc="T T T"
Cu 0.0000 0.0000 0.0000
Cu 0.1846 0.0255 7.0058
Hg 1.6443 0.0086 2.1458
Hg 1.8295 1.7683 4.4662
O 0.1245 1.7823 6.1029
O 1.8195 -0.0006 8.2188



8.
6
Lattice="2.8475 0.0000 0.0000 0.0000 2.8476 0.0000 -0.1376 0.0000 11.9637" Properties=species:S:1:pos:R:3 comment="CuHgO PBE-GGA optimized geometry" polymorph_energy_kcal_per_mol_atoms=0.00 spacegroup="No. 11" dos_ef_per_ev_cell=1.4 pbc="T T T"
Cu 0.6493 0.7119 4.6601
Cu 2.0606 2.1357 7.3036
Hg 0.6209 0.7119 10.2547
Hg 2.0890 2.1357 1.7090
O 0.6365 0.7119 7.4217
O 2.0734 2.1357 4.5421



What are the energy relative to the elements, uncorrected values for these records? In order: -0.331 0.165 -0.376 -0.136 -0.206 -0.117 -0.223 -0.265 eV per atom.
What are the total energy values for these records? In order: -4.013 -2.249 -4.271 -4.180 -3.215 -3.799 -3.341 -3.383 eV/atom.
What are the density values for these records? In order: 6509 11403 7171 7444 10396 8797 9065 9590 kg/m³.